Version P
## SrGaP (PBE-GGA)

Data for an optimized crystal structure of SrGaP.

Output
The density of states at the Fermi level is 0.3778 states/eV per atom. Its space group is Immm.

```
data_SrGaP
_chemical_formula_sum 'Sr2 Ga2 P2'
_space_group_name_H-M_alt 'P 1'
_space_group_IT_number 1
_cell_length_a 4.870
_cell_length_b 4.573
_cell_length_c 7.976
_cell_angle_alpha 106.66
_cell_angle_beta 107.78
_cell_angle_gamma 90.00
loop_
_space_group_symop_operation_xyz
'x,y,z'
loop_
_atom_site_label
_atom_site_type_symbol
_atom_site_fract_x
_atom_site_fract_y
_atom_site_fract_z
P1 P 0.860 0.360 0.720
Ga1 Ga 0.737 0.500 0.000
Sr1 Sr 0.651 0.151 0.303
Sr2 Sr 0.349 0.849 0.697
Ga2 Ga 0.263 0.500 0.000
P2 P 0.140 0.640 0.280
```


Version Q
## SrGaP (PBE-GGA)

Data for an optimized crystal structure of SrGaP.

Output
The density of states at the Fermi level is 0.1520 states/eV per atom. Its space group is Pnma.

```
data_SrGaP
_chemical_formula_sum 'Sr4 Ga4 P4'
_space_group_name_H-M_alt 'P 1'
_space_group_IT_number 1
_cell_length_a 4.641
_cell_length_b 7.310
_cell_length_c 8.777
_cell_angle_alpha 90.00
_cell_angle_beta 90.00
_cell_angle_gamma 90.00
loop_
_space_group_symop_operation_xyz
'x,y,z'
loop_
_atom_site_label
_atom_site_type_symbol
_atom_site_fract_x
_atom_site_fract_y
_atom_site_fract_z
Ga1 Ga 0.750 0.990 0.076
Ga2 Ga 0.250 0.010 0.924
Sr1 Sr 0.750 0.628 0.838
Sr2 Sr 0.250 0.372 0.162
Sr3 Sr 0.750 0.128 0.662
P1 P 0.250 0.838 0.682
P2 P 0.750 0.662 0.182
Ga3 Ga 0.750 0.490 0.424
P3 P 0.750 0.162 0.318
Sr4 Sr 0.250 0.872 0.338
P4 P 0.250 0.338 0.818
Ga4 Ga 0.250 0.510 0.576
```


The structure with the least stability is version P.


Version P
## GaTc2P (PBE-GGA)

Data for an optimized crystal structure of GaTc2P.

Output
The density of states at the Fermi level is 0.8126 states/eV per atom. Its space group is I-42d.

```
data_GaTc2P
_chemical_formula_sum 'Ga2 Tc4 P2'
_space_group_name_H-M_alt 'P 1'
_space_group_IT_number 1
_cell_length_a 3.866
_cell_length_b 3.866
_cell_length_c 9.040
_cell_angle_alpha 77.65
_cell_angle_beta 77.65
_cell_angle_gamma 90.00
loop_
_space_group_symop_operation_xyz
'x,y,z'
loop_
_atom_site_label
_atom_site_type_symbol
_atom_site_fract_x
_atom_site_fract_y
_atom_site_fract_z
Tc1 Tc 0.181 0.625 0.250
P1 P 0.250 0.750 0.500
P2 P 0.500 0.500 0.000
Ga1 Ga 0.750 0.250 0.500
Tc2 Tc 0.375 0.431 0.750
Ga2 Ga 0.000 0.000 0.000
Tc3 Tc 0.875 0.819 0.750
Tc4 Tc 0.569 0.125 0.250
```


Version Q
## GaTc2P (PBE-GGA)

Data for an optimized crystal structure of GaTc2P.

Output
The density of states at the Fermi level is 1.1062 states/eV per atom. Its space group is R-3m.

```
data_GaTc2P
_chemical_formula_sum 'Ga1 Tc2 P1'
_space_group_name_H-M_alt 'P 1'
_space_group_IT_number 1
_cell_length_a 2.895
_cell_length_b 2.895
_cell_length_c 8.016
_cell_angle_alpha 79.60
_cell_angle_beta 79.60
_cell_angle_gamma 60.00
loop_
_space_group_symop_operation_xyz
'x,y,z'
loop_
_atom_site_label
_atom_site_type_symbol
_atom_site_fract_x
_atom_site_fract_y
_atom_site_fract_z
Ga1 Ga 0.500 0.500 0.500
P1 P 0.000 0.000 0.000
Tc1 Tc 0.742 0.742 0.774
Tc2 Tc 0.258 0.258 0.226
```


Version R
## GaTc2P (PBE-GGA)

Data for an optimized crystal structure of GaTc2P.

Output
The density of states at the Fermi level is 0.9216 states/eV per atom. Its space group is R3m.

```
data_GaTc2P
_chemical_formula_sum 'Ga1 Tc2 P1'
_space_group_name_H-M_alt 'P 1'
_space_group_IT_number 1
_cell_length_a 2.915
_cell_length_b 2.915
_cell_length_c 7.885
_cell_angle_alpha 79.35
_cell_angle_beta 79.35
_cell_angle_gamma 60.00
loop_
_space_group_symop_operation_xyz
'x,y,z'
loop_
_atom_site_label
_atom_site_type_symbol
_atom_site_fract_x
_atom_site_fract_y
_atom_site_fract_z
P1 P 0.666 0.666 0.001
Tc1 Tc 0.076 0.076 0.771
Ga1 Ga 0.500 0.500 0.499
Tc2 Tc 0.257 0.257 0.229
```


Version S
## GaTc2P (PBE-GGA)

Data for an optimized crystal structure of GaTc2P.

Output
The density of states at the Fermi level is 1.0265 states/eV per atom. Its space group is Fm-3m.

```
data_GaTc2P
_chemical_formula_sum 'Ga1 Tc2 P1'
_space_group_name_H-M_alt 'P 1'
_space_group_IT_number 1
_cell_length_a 4.246
_cell_length_b 4.246
_cell_length_c 4.246
_cell_angle_alpha 60.00
_cell_angle_beta 60.00
_cell_angle_gamma 60.00
loop_
_space_group_symop_operation_xyz
'x,y,z'
loop_
_atom_site_label
_atom_site_type_symbol
_atom_site_fract_x
_atom_site_fract_y
_atom_site_fract_z
Tc1 Tc 0.750 0.750 0.750
Tc2 Tc 0.250 0.250 0.250
P1 P 0.000 0.000 0.000
Ga1 Ga 0.500 0.500 0.500
```


The structure with the least stability is version P.


Version P
## GaTe3P (PBE-GGA)

Data for an optimized crystal structure of GaTe3P.

Output
The density of states at the Fermi level is 1.1795 states/eV per atom. Its space group is Pm-3m.

```
data_GaTe3P
_chemical_formula_sum 'Ga1 Te3 P1'
_space_group_name_H-M_alt 'P 1'
_space_group_IT_number 1
_cell_length_a 5.295
_cell_length_b 5.295
_cell_length_c 5.295
_cell_angle_alpha 90.00
_cell_angle_beta 90.00
_cell_angle_gamma 90.00
loop_
_space_group_symop_operation_xyz
'x,y,z'
loop_
_atom_site_label
_atom_site_type_symbol
_atom_site_fract_x
_atom_site_fract_y
_atom_site_fract_z
P1 P 0.500 0.500 0.500
Te1 Te 0.500 0.000 0.000
Ga1 Ga 0.000 0.000 0.000
Te2 Te 0.000 0.000 0.500
Te3 Te 0.000 0.500 0.000
```


Version Q
## GaTe3P (PBE-GGA)

Data for an optimized crystal structure of GaTe3P.

Output
The density of states at the Fermi level is 1.0158 states/eV per atom. Its space group is Pm-3m.

```
data_GaTe3P
_chemical_formula_sum 'Ga1 Te3 P1'
_space_group_name_H-M_alt 'P 1'
_space_group_IT_number 1
_cell_length_a 5.313
_cell_length_b 5.313
_cell_length_c 5.313
_cell_angle_alpha 90.00
_cell_angle_beta 90.00
_cell_angle_gamma 90.00
loop_
_space_group_symop_operation_xyz
'x,y,z'
loop_
_atom_site_label
_atom_site_type_symbol
_atom_site_fract_x
_atom_site_fract_y
_atom_site_fract_z
Te1 Te 0.000 0.500 0.000
Te2 Te 0.000 0.000 0.500
Te3 Te 0.500 0.000 0.000
P1 P 0.000 0.000 0.000
Ga1 Ga 0.500 0.500 0.500
```


The structure with the least stability is version P.


Version P
## TiGa2P (PBE-GGA)

Data for an optimized crystal structure of TiGa2P.

Output
The density of states at the Fermi level is 0.7387 states/eV per atom. Its space group is Fm-3m.

```
data_TiGa2P
_chemical_formula_sum 'Ti1 Ga2 P1'
_space_group_name_H-M_alt 'P 1'
_space_group_IT_number 1
_cell_length_a 4.604
_cell_length_b 4.604
_cell_length_c 4.604
_cell_angle_alpha 60.00
_cell_angle_beta 60.00
_cell_angle_gamma 60.00
loop_
_space_group_symop_operation_xyz
'x,y,z'
loop_
_atom_site_label
_atom_site_type_symbol
_atom_site_fract_x
_atom_site_fract_y
_atom_site_fract_z
Ti1 Ti 0.500 0.500 0.500
P1 P 0.000 0.000 0.000
Ga1 Ga 0.250 0.250 0.250
Ga2 Ga 0.750 0.750 0.750
```


Version Q
## TiGa2P (PBE-GGA)

Data for an optimized crystal structure of TiGa2P.

Output
The density of states at the Fermi level is 0.8764 states/eV per atom. Its space group is I-42d.

```
data_TiGa2P
_chemical_formula_sum 'Ti2 Ga4 P2'
_space_group_name_H-M_alt 'P 1'
_space_group_IT_number 1
_cell_length_a 7.288
_cell_length_b 7.288
_cell_length_c 5.752
_cell_angle_alpha 50.69
_cell_angle_beta 50.69
_cell_angle_gamma 90.00
loop_
_space_group_symop_operation_xyz
'x,y,z'
loop_
_atom_site_label
_atom_site_type_symbol
_atom_site_fract_x
_atom_site_fract_y
_atom_site_fract_z
Ga1 Ga 0.156 0.625 0.250
P1 P 0.500 0.500 0.000
P2 P 0.250 0.750 0.500
Ti1 Ti 0.000 0.000 0.000
Ga2 Ga 0.875 0.844 0.750
Ga3 Ga 0.594 0.125 0.250
Ti2 Ti 0.750 0.250 0.500
Ga4 Ga 0.375 0.406 0.750
```


The structure with the least stability is version P.


Version P
## Ti2GaP (PBE-GGA)

Data for an optimized crystal structure of Ti2GaP.

Output
The density of states at the Fermi level is 1.1673 states/eV per atom. Its space group is Fm-3m.

```
data_Ti2GaP
_chemical_formula_sum 'Ti2 Ga1 P1'
_space_group_name_H-M_alt 'P 1'
_space_group_IT_number 1
_cell_length_a 4.416
_cell_length_b 4.416
_cell_length_c 4.416
_cell_angle_alpha 60.00
_cell_angle_beta 60.00
_cell_angle_gamma 60.00
loop_
_space_group_symop_operation_xyz
'x,y,z'
loop_
_atom_site_label
_atom_site_type_symbol
_atom_site_fract_x
_atom_site_fract_y
_atom_site_fract_z
Ga1 Ga 0.500 0.500 0.500
P1 P 0.000 0.000 0.000
Ti1 Ti 0.750 0.750 0.750
Ti2 Ti 0.250 0.250 0.250
```


Version Q
## Ti2GaP (PBE-GGA)

Data for an optimized crystal structure of Ti2GaP.

Output
The density of states at the Fermi level is 0.3470 states/eV per atom. Its space group is I-42d.

```
data_Ti2GaP
_chemical_formula_sum 'Ti4 Ga2 P2'
_space_group_name_H-M_alt 'P 1'
_space_group_IT_number 1
_cell_length_a 5.691
_cell_length_b 5.691
_cell_length_c 7.002
_cell_angle_alpha 66.02
_cell_angle_beta 66.02
_cell_angle_gamma 90.00
loop_
_space_group_symop_operation_xyz
'x,y,z'
loop_
_atom_site_label
_atom_site_type_symbol
_atom_site_fract_x
_atom_site_fract_y
_atom_site_fract_z
P1 P 0.500 0.500 0.000
Ti1 Ti 0.151 0.625 0.250
Ga1 Ga 0.000 0.000 0.000
Ga2 Ga 0.750 0.250 0.500
P2 P 0.250 0.750 0.500
Ti2 Ti 0.375 0.401 0.750
Ti3 Ti 0.599 0.125 0.250
Ti4 Ti 0.875 0.849 0.750
```


The structure with the least stability is version Q.


Version P
## Ti3GaP (PBE-GGA)

Data for an optimized crystal structure of Ti3GaP.

Output
The density of states at the Fermi level is 0.7339 states/eV per atom. Its space group is Pm-3m.

```
data_Ti3GaP
_chemical_formula_sum 'Ti3 Ga1 P1'
_space_group_name_H-M_alt 'P 1'
_space_group_IT_number 1
_cell_length_a 4.517
_cell_length_b 4.517
_cell_length_c 4.517
_cell_angle_alpha 90.00
_cell_angle_beta 90.00
_cell_angle_gamma 90.00
loop_
_space_group_symop_operation_xyz
'x,y,z'
loop_
_atom_site_label
_atom_site_type_symbol
_atom_site_fract_x
_atom_site_fract_y
_atom_site_fract_z
P1 P 0.000 0.000 0.000
Ti1 Ti 0.000 0.500 0.000
Ga1 Ga 0.500 0.500 0.500
Ti2 Ti 0.500 0.000 0.000
Ti3 Ti 0.000 0.000 0.500
```


Version Q
## Ti3GaP (PBE-GGA)

Data for an optimized crystal structure of Ti3GaP.

Output
The density of states at the Fermi level is 1.0640 states/eV per atom. Its space group is C2/m.

```
data_Ti3GaP
_chemical_formula_sum 'Ti6 Ga2 P2'
_space_group_name_H-M_alt 'P 1'
_space_group_IT_number 1
_cell_length_a 4.524
_cell_length_b 6.376
_cell_length_c 6.875
_cell_angle_alpha 82.55
_cell_angle_beta 90.00
_cell_angle_gamma 110.78
loop_
_space_group_symop_operation_xyz
'x,y,z'
loop_
_atom_site_label
_atom_site_type_symbol
_atom_site_fract_x
_atom_site_fract_y
_atom_site_fract_z
Ti1 Ti 0.838 0.676 0.476
Ti2 Ti 0.162 0.324 0.524
Ti3 Ti 0.719 0.438 0.858
Ti4 Ti 0.041 0.082 0.204
P1 P 0.150 0.299 0.883
Ti5 Ti 0.959 0.918 0.796
P2 P 0.850 0.701 0.117
Ga1 Ga 0.362 0.723 0.687
Ga2 Ga 0.638 0.277 0.313
Ti6 Ti 0.281 0.562 0.142
```


The structure with the least stability is version P.